# InNiTe2

Crystalline InNiTe2 at its relaxed geometry (PBEsol, Alexandria via LeMat-Bulk).

Calculated values
The value obtained for the density of states at the Fermi level is 0.522 states/eV per atom. The calculation puts the magnetic moment at 0.0 μB/f.u. As for the energy relative to the elements, uncorrected: 0.063 eV per atom.

POSCAR file:
```
InNiTe2
1.0
3.1365 0.0000 0.0000
0.0000 3.1365 0.0000
0.0000 0.0000 9.3749
In Ni Te
1 1 2
direct
0.0000 0.0000 0.0000 In
0.5000 0.5000 0.7901 Ni
0.0000 0.0000 0.6478 Te
0.5000 0.5000 0.3073 Te
```

***

# InNiTe2

Crystalline InNiTe2 at its relaxed geometry (PBEsol, Alexandria via LeMat-Bulk).

Calculated values
The value obtained for the density of states at the Fermi level is 1.155 states/eV per atom. The calculation puts the magnetic moment at 0.0 μB/f.u. As for the energy relative to the elements, uncorrected: 0.369 eV per atom.

POSCAR file:
```
InNiTe2
1.0
-1.9993 1.9993 5.8770
1.9993 -1.9993 5.8770
1.9993 1.9993 -5.8770
In Ni Te
1 1 2
direct
0.0000 0.0000 0.0000 In
0.7500 0.2500 0.5000 Ni
0.2500 0.7500 0.5000 Te
0.5000 0.5000 0.0000 Te
```

***

# InNi2Te

Crystalline InNi2Te at its relaxed geometry (PBEsol, Alexandria via LeMat-Bulk).

Calculated values
The value obtained for the density of states at the Fermi level is 0.688 states/eV per atom. The calculation puts the magnetic moment at 0.0 μB/f.u. As for the energy relative to the elements, uncorrected: 0.085 eV per atom.

POSCAR file:
```
InNi2Te
1.0
3.6913 -1.6625 0.0000
3.6913 1.6625 0.0000
-1.4448 0.0000 5.5614
In Ni Te
1 2 1
direct
0.0000 0.0000 0.0000 In
0.2485 0.2485 0.7425 Ni
0.7515 0.7515 0.2575 Ni
0.5000 0.5000 0.5000 Te
```